Pr4RuRhCl2: optimized geometry, PBE.

Cell and atoms, written as extended XYZ:
```
8
Lattice="4.0869 0.0000 0.0000 0.0000 7.0869 0.1256 0.0000 -2.4853 7.6357" Properties=species:S:1:pos:R:3 pbc="T T T"
Cl 0.0000 2.3008 3.8806
Cl 2.0434 -1.2427 3.8179
Pr 2.0434 3.4076 6.1629
Pr 0.0000 4.6715 1.6783
Pr 2.0434 1.1940 1.5984
Pr 0.0000 -0.0699 6.0830
Ru 2.0434 3.5435 0.0628
Rh 0.0000 0.0000 0.0000
```

Density of states at the Fermi level   0.52 states/eV/atom
Formation energy (no corrections)   -1.019 eV/atom
Final energy   -47.59 eV per cell